Ti7In4Hg: optimized geometry, GGA-PBE.

Summary:
As for the volume: 501 Å³/cell. As for the formation energy from the elements: 0.178 eV/atom. The value obtained for the final energy is -128.78 eV/cell.

```
data_Ti7In4Hg
_chemical_formula_sum 'Ti14 In8 Hg2'
_space_group_name_H-M_alt 'C 1 2/m 1'
_space_group_IT_number 12
_cell_length_a 10.351
_cell_length_b 5.120
_cell_length_c 10.770
_cell_angle_alpha 90.00
_cell_angle_beta 118.64
_cell_angle_gamma 90.00
loop_
_space_group_symop_operation_xyz
'x,y,z'
'-x,-y,-z'
'-x,y,-z'
'x,-y,z'
'x+1/2,y+1/2,z'
'-x+1/2,-y+1/2,-z'
'-x+1/2,y+1/2,-z'
'x+1/2,-y+1/2,z'
loop_
_atom_site_label
_atom_site_fract_x
_atom_site_fract_y
_atom_site_fract_z
Ti1 0.000 0.000 0.000
Ti2 0.033 0.500 0.385
Ti3 0.141 0.000 0.533
Ti4 0.223 0.500 0.921
In1 0.093 0.000 0.775
In2 0.224 0.000 0.316
Hg1 0.000 0.500 0.000
```